(1)
This record from Alexandria via LeMat-Bulk describes NpCr2BiO8 after structural relaxation. The functional is GGA+U.

Cell and atoms, written as POSCAR:
```
NpCr2BiO8
1.0
3.382 -3.402 0.000
3.382 3.402 0.000
0.000 0.000 6.705
Np Cr Bi O
1 2 1 8
direct
0.000 0.000 0.000
0.500 0.500 0.249
0.500 0.500 0.751
0.000 0.000 0.500
0.204 0.796 0.225
0.204 0.796 0.775
0.307 0.307 0.000
0.330 0.330 0.500
0.670 0.670 0.500
0.693 0.693 0.000
0.796 0.204 0.225
0.796 0.204 0.775
```

Calculated values
Space-group type: Cmmm (65)
Uncorrected energy (eV/atom): -7.88
V (Å³/f.u.): 154

***

(2)
This record from Alexandria via LeMat-Bulk describes NpCrBi2O8 after structural relaxation. The functional is GGA+U.

Cell and atoms, written as POSCAR:
```
NpCrBi2O8
1.0
5.142 0.000 0.000
0.000 6.729 0.000
-0.092 0.000 5.149
Np Cr Bi O
1 1 2 8
direct
0.000 0.000 0.000
0.000 0.500 0.000
0.500 0.264 0.500
0.500 0.736 0.500
0.175 0.249 0.828
0.175 0.751 0.828
0.269 0.000 0.273
0.283 0.500 0.285
0.717 0.500 0.715
0.731 0.000 0.727
0.825 0.249 0.172
0.825 0.751 0.172
```

Calculated values
Space-group type: P2/m (10)
Uncorrected energy (eV/atom): -7.44
V (Å³/f.u.): 178

***

(3)
This record from Alexandria via LeMat-Bulk describes CrBiO3 after structural relaxation. The functional is GGA+U.

Cell and atoms, written as POSCAR:
```
CrBiO3
1.0
6.614 0.000 0.000
0.000 5.348 0.000
-1.281 0.000 7.418
Cr Bi O
4 4 12
direct
0.075 0.243 0.433
0.075 0.257 0.933
0.925 0.743 0.067
0.925 0.757 0.567
0.350 0.728 0.347
0.350 0.772 0.847
0.650 0.228 0.153
0.650 0.272 0.653
0.027 0.085 0.171
0.027 0.415 0.671
0.197 0.581 0.054
0.197 0.919 0.554
0.361 0.161 0.924
0.361 0.339 0.424
0.639 0.661 0.576
0.639 0.839 0.076
0.803 0.081 0.446
0.803 0.419 0.946
0.973 0.585 0.329
0.973 0.915 0.829
```

Calculated values
Space-group type: P2_1/c (14)
Uncorrected energy (eV/atom): -6.80
V (Å³/f.u.): 66

***

(4)
This record from Alexandria via LeMat-Bulk describes CrBiO4 after structural relaxation. The functional is GGA+U.

Cell and atoms, written as POSCAR:
```
CrBiO4
1.0
5.709 0.000 0.000
0.000 5.709 0.000
0.000 0.000 4.794
Cr Bi O
2 2 8
direct
0.250 0.750 0.000
0.750 0.250 0.000
0.250 0.250 0.500
0.750 0.750 0.500
0.085 0.585 0.235
0.085 0.915 0.765
0.415 0.585 0.765
0.415 0.915 0.235
0.585 0.085 0.765
0.585 0.415 0.235
0.915 0.085 0.235
0.915 0.415 0.765
```

Calculated values
Space-group type: P4/nbm (125)
Uncorrected energy (eV/atom): -6.45
V (Å³/f.u.): 78

***

(5)
This record from Alexandria via LeMat-Bulk describes CrBi3O after structural relaxation. The functional is GGA+U.

Cell and atoms, written as POSCAR:
```
CrBi3O
1.0
4.886 0.000 0.000
0.000 4.886 0.000
0.000 0.000 4.886
Cr Bi O
1 3 1
direct
0.000 0.000 0.000
0.000 0.500 0.500
0.500 0.000 0.500
0.500 0.500 0.000
0.500 0.500 0.500
```

Calculated values
Space-group type: Pm-3m (221)
V (Å³/f.u.): 117
ΔE to the lowest computed polymorph (eV/atom): 0.0000

***

(6)
This record from Alexandria via LeMat-Bulk describes CrBi14O24 after structural relaxation. The functional is GGA+U.

Cell and atoms, written as POSCAR:
```
CrBi14O24
1.0
8.837 0.000 0.000
0.008 8.838 0.000
4.353 4.395 8.612
Cr Bi O
1 14 24
direct
0.000 0.000 0.000
0.039 0.444 0.679
0.112 0.918 0.350
0.187 0.416 0.021
0.259 0.847 0.678
0.323 0.315 0.338
0.415 0.761 0.024
0.450 0.258 0.674
0.513 0.694 0.355
0.536 0.192 0.014
0.631 0.641 0.700
0.707 0.110 0.348
0.763 0.534 0.016
0.848 0.033 0.682
0.925 0.511 0.355
0.085 0.083 0.806
0.095 0.599 0.781
0.121 0.875 0.065
0.156 0.980 0.508
0.217 0.517 0.180
0.279 0.213 0.173
0.311 0.472 0.513
0.361 0.856 0.252
0.376 0.679 0.860
0.433 0.373 0.858
0.479 0.796 0.528
0.485 0.157 0.503
0.521 0.574 0.180
0.584 0.275 0.174
0.600 0.097 0.782
0.649 0.478 0.518
0.679 0.737 0.861
0.740 0.432 0.859
0.801 0.969 0.526
0.806 0.888 0.076
0.867 0.356 0.253
0.981 0.644 0.515
0.982 0.307 0.516
0.988 0.159 0.049
```

Calculated values
Space-group type: P1 (1)
Uncorrected energy (eV/atom): -5.89
V (Å³/f.u.): 673

***

(7)
This record from Alexandria via LeMat-Bulk describes Cr3BiO after structural relaxation. The functional is GGA+U.

Cell and atoms, written as POSCAR:
```
Cr3BiO
1.0
5.427 0.000 0.000
0.000 5.427 0.000
0.000 0.000 5.427
Cr Bi O
3 1 1
direct
0.000 0.000 0.500
0.000 0.500 0.000
0.500 0.000 0.000
0.000 0.000 0.000
0.500 0.500 0.500
```

Calculated values
Space-group type: Pm-3m (221)
V (Å³/f.u.): 160
ΔE to the lowest computed polymorph (eV/atom): 1.4553

***

(8)
This record from Alexandria via LeMat-Bulk describes CrBiO4 after structural relaxation. The functional is GGA+U.

Cell and atoms, written as POSCAR:
```
CrBiO4
1.0
-3.703 3.703 3.227
3.703 -3.703 3.227
3.703 3.703 -3.227
Cr Bi O
2 2 8
direct
0.375 0.625 0.750
0.625 0.375 0.250
0.125 0.875 0.250
0.875 0.125 0.750
0.203 0.274 0.571
0.203 0.633 0.929
0.274 0.203 0.071
0.367 0.797 0.571
0.633 0.203 0.429
0.726 0.797 0.929
0.797 0.367 0.071
0.797 0.726 0.429
```

Calculated values
Space-group type: I4_1/amd (141)
Uncorrected energy (eV/atom): -6.49
V (Å³/f.u.): 88

***

(9)
This record from Alexandria via LeMat-Bulk describes CrBi2O5 after structural relaxation. The functional is GGA+U.

Cell and atoms, written as POSCAR:
```
CrBi2O5
1.0
3.725 -4.266 0.000
3.725 4.266 0.000
-3.524 0.000 4.224
Cr Bi O
1 2 5
direct
0.000 0.000 0.000
0.310 0.753 0.628
0.753 0.310 0.628
0.028 0.028 0.702
0.189 0.720 0.943
0.269 0.269 0.399
0.715 0.715 0.908
0.720 0.189 0.943
```

Calculated values
Space-group type: Cm (8)
Uncorrected energy (eV/atom): -6.31
V (Å³/f.u.): 134

***

(10)
This record from Alexandria via LeMat-Bulk describes CrBiO2 after structural relaxation. The functional is GGA+U.

Cell and atoms, written as POSCAR:
```
CrBiO2
1.0
1.589 0.917 6.698
-1.589 0.917 6.698
0.000 -1.835 6.698
Cr Bi O
1 1 2
direct
0.000 0.000 0.000
0.500 0.500 0.500
0.381 0.381 0.381
0.619 0.619 0.619
```

Calculated values
Space-group type: R-3m (166)
Uncorrected energy (eV/atom): -6.69
V (Å³/f.u.): 59

***

(11)
This record from Alexandria via LeMat-Bulk describes CrBi3O after structural relaxation. The functional is GGA+U.

Cell and atoms, written as POSCAR:
```
CrBi3O
1.0
5.066 0.000 0.000
0.000 5.066 0.000
0.000 0.000 5.066
Cr Bi O
1 3 1
direct
0.000 0.000 0.000
0.000 0.000 0.500
0.000 0.500 0.000
0.500 0.000 0.000
0.500 0.500 0.500
```

Calculated values
Space-group type: Pm-3m (221)
V (Å³/f.u.): 130
ΔE to the lowest computed polymorph (eV/atom): 0.4975

***

(12)
This record from Alexandria via LeMat-Bulk describes Cr5Bi3O12 after structural relaxation. The functional is GGA+U.

Cell and atoms, written as POSCAR:
```
Cr5Bi3O12
1.0
-6.419 6.419 6.419
6.419 -6.419 6.419
6.419 6.419 -6.419
Cr Bi O
20 12 48
direct
0.000 0.000 0.000
0.000 0.000 0.500
0.000 0.500 0.000
0.000 0.500 0.500
0.125 0.750 0.875
0.125 0.875 0.250
0.250 0.125 0.875
0.250 0.625 0.375
0.375 0.250 0.625
0.375 0.625 0.750
0.500 0.000 0.000
0.500 0.000 0.500
0.500 0.500 0.000
0.500 0.500 0.500
0.625 0.375 0.250
0.625 0.750 0.375
0.750 0.375 0.625
0.750 0.875 0.125
0.875 0.125 0.750
0.875 0.250 0.125
0.125 0.250 0.375
0.125 0.375 0.750
0.250 0.375 0.125
0.250 0.875 0.625
0.375 0.125 0.250
0.375 0.750 0.125
0.625 0.250 0.875
0.625 0.875 0.750
0.750 0.125 0.375
0.750 0.625 0.875
0.875 0.625 0.250
0.875 0.750 0.625
0.024 0.199 0.125
0.024 0.325 0.898
0.074 0.699 0.675
0.074 0.875 0.398
0.102 0.625 0.426
0.102 0.976 0.675
0.125 0.024 0.199
0.125 0.602 0.926
0.175 0.199 0.574
0.175 0.476 0.602
0.199 0.125 0.024
0.199 0.574 0.175
0.301 0.325 0.926
0.301 0.476 0.375
0.325 0.898 0.024
0.325 0.926 0.301
0.375 0.301 0.476
0.375 0.574 0.898
0.398 0.074 0.875
0.398 0.825 0.524
0.426 0.102 0.625
0.426 0.825 0.801
0.476 0.375 0.301
0.476 0.602 0.175
0.524 0.398 0.825
0.524 0.625 0.699
0.574 0.175 0.199
0.574 0.898 0.375
0.602 0.175 0.476
0.602 0.926 0.125
0.625 0.426 0.102
0.625 0.699 0.524
0.675 0.074 0.699
0.675 0.102 0.976
0.699 0.524 0.625
0.699 0.675 0.074
0.801 0.426 0.825
0.801 0.875 0.976
0.825 0.524 0.398
0.825 0.801 0.426
0.875 0.398 0.074
0.875 0.976 0.801
0.898 0.024 0.325
0.898 0.375 0.574
0.926 0.125 0.602
0.926 0.301 0.325
0.976 0.675 0.102
0.976 0.801 0.875
```

Calculated values
Space-group type: Ia-3d (230)
Uncorrected energy (eV/atom): -6.93
V (Å³/f.u.): 264

***

(13)
This record from Alexandria via LeMat-Bulk describes Cr6Bi4O19 after structural relaxation. The functional is GGA+U.

Cell and atoms, written as POSCAR:
```
Cr6Bi4O19
1.0
-4.414 4.414 4.414
4.414 -4.414 4.414
4.414 4.414 -4.414
Cr Bi O
6 4 19
direct
0.161 0.661 0.500
0.339 0.500 0.839
0.500 0.161 0.661
0.500 0.839 0.339
0.661 0.500 0.161
0.839 0.339 0.500
0.000 0.000 0.681
0.000 0.681 0.000
0.319 0.319 0.319
0.681 0.000 0.000
0.000 0.000 0.000
0.000 0.353 0.353
0.000 0.647 0.647
0.035 0.348 0.738
0.262 0.610 0.296
0.296 0.262 0.610
0.314 0.965 0.704
0.348 0.738 0.035
0.353 0.000 0.353
0.353 0.353 0.000
0.390 0.652 0.686
0.610 0.296 0.262
0.647 0.000 0.647
0.647 0.647 0.000
0.652 0.686 0.390
0.686 0.390 0.652
0.704 0.314 0.965
0.738 0.035 0.348
0.965 0.704 0.314
```

Calculated values
Space-group type: I23 (197)
Uncorrected energy (eV/atom): -6.66
V (Å³/f.u.): 344

***

(14)
This record from Alexandria via LeMat-Bulk describes CrBi6O8 after structural relaxation. The functional is GGA+U.

Cell and atoms, written as POSCAR:
```
CrBi6O8
1.0
3.484 2.011 6.616
-3.484 2.011 6.616
0.000 -4.023 6.616
Cr Bi O
1 6 8
direct
0.000 0.000 0.000
0.103 0.714 0.457
0.286 0.543 0.897
0.457 0.103 0.714
0.543 0.897 0.286
0.714 0.457 0.103
0.897 0.286 0.543
0.163 0.403 0.814
0.186 0.837 0.597
0.381 0.381 0.381
0.403 0.814 0.163
0.597 0.186 0.837
0.619 0.619 0.619
0.814 0.163 0.403
0.837 0.597 0.186
```

Calculated values
Space-group type: R-3 (148)
Uncorrected energy (eV/atom): -5.53
V (Å³/f.u.): 278

***

(15)
This record from Alexandria via LeMat-Bulk describes CrBiO5 after structural relaxation. The functional is GGA+U.

Cell and atoms, written as POSCAR:
```
CrBiO5
1.0
6.216 0.000 0.000
0.000 9.477 0.000
-1.620 0.000 7.625
Cr Bi O
4 4 20
direct
0.239 0.070 0.290
0.239 0.430 0.790
0.761 0.570 0.210
0.761 0.930 0.710
0.355 0.682 0.470
0.355 0.818 0.970
0.645 0.182 0.030
0.645 0.318 0.530
0.021 0.144 0.164
0.021 0.356 0.664
0.218 0.077 0.491
0.218 0.423 0.991
0.262 0.604 0.737
0.262 0.896 0.237
0.341 0.052 0.944
0.341 0.448 0.444
0.477 0.164 0.281
0.477 0.336 0.781
0.523 0.664 0.219
0.523 0.836 0.719
0.659 0.552 0.556
0.659 0.948 0.056
0.738 0.104 0.763
0.738 0.396 0.263
0.782 0.577 0.009
0.782 0.923 0.509
0.979 0.644 0.336
0.979 0.856 0.836
```

Calculated values
Space-group type: P2_1/c (14)
V (Å³/f.u.): 112
ΔE to the lowest computed polymorph (eV/atom): 0.0443

***

(16)
This record from Alexandria via LeMat-Bulk describes CrBi2O after structural relaxation. The functional is GGA+U.

Cell and atoms, written as POSCAR:
```
CrBi2O
1.0
-2.713 2.713 7.085
2.713 -2.713 7.085
2.713 2.713 -7.085
Cr Bi O
2 4 2
direct
0.000 0.000 0.000
0.750 0.250 0.500
0.202 0.625 0.077
0.375 0.452 0.577
0.548 0.125 0.923
0.875 0.798 0.423
0.250 0.750 0.500
0.500 0.500 0.000
```

Calculated values
Space-group type: I-42d (122)
Uncorrected energy (eV/atom): -4.41
V (Å³/f.u.): 104